[1]
Here is a relaxed KGe2Pt crystal from Alexandria via LeMat-Bulk. Energies are from PBE.

```
8
Lattice="5.059 0.368 0.000 2.308 5.459 0.000 2.529 0.184 8.054" Properties=species:S:1:pos:R:3 pbc="T T T"
K 5.636 1.733 1.223
K 4.261 4.278 6.832
Ge 3.014 3.638 2.326
Ge 5.507 4.919 2.326
Ge 6.883 2.373 5.728
Ge 4.389 1.092 5.728
Pt 3.107 1.549 3.583
Pt 6.790 4.462 4.471
```

Summary:
The value obtained for the formation energy is -0.22 eV per atom. The value obtained for the theoretical density is 5.8 g cm⁻³. The value obtained for the total magnetization is 0.0 μB/cell. Its space group is C2/c (15). The value obtained for the total energy is -4.31 eV per atom.


[2]
Here is a relaxed KGe3Pt2 crystal from Alexandria via LeMat-Bulk. Energies are from PBE.

```
24
Lattice="-8.825 -1.096 -2.024 -4.166 -7.890 1.890 -6.196 -0.399 6.681" Properties=species:S:1:pos:R:3 pbc="T T T"
K 0.000 0.000 0.000
K -2.083 -3.945 0.945
K -4.413 -0.548 -1.012
K -3.098 -0.200 3.341
Ge -10.535 -4.026 5.553
Ge -13.449 -7.707 2.631
Ge -11.663 -4.324 1.820
Ge -12.321 -7.408 6.363
Ge -9.665 -7.237 3.499
Ge -14.319 -4.495 4.685
Ge -6.866 -1.978 0.184
Ge -7.525 -5.062 4.726
Ge -5.739 -1.679 3.916
Ge -8.652 -5.360 0.994
Ge -9.522 -2.149 3.048
Ge -4.868 -4.890 1.862
Pt -4.999 -2.446 1.706
Pt -6.907 -6.058 2.571
Pt -9.039 -2.947 0.779
Pt -7.836 -2.628 4.764
Pt -12.281 -3.328 3.976
Pt -14.188 -6.940 4.841
Pt -10.148 -6.439 5.768
Pt -11.351 -6.758 1.782
```

Summary:
The value obtained for the formation energy is -0.11 eV per atom. The value obtained for the theoretical density is 8.0 g cm⁻³. The value obtained for the total magnetization is 0.0 μB/cell. The value obtained for the polymorph energy (0 for the lowest one) is 1.92 kcal/mol of atoms. Its space group is Fd-3m (227). The value obtained for the total energy is -4.62 eV per atom.


[3]
Here is a relaxed KGe2Pt crystal from Alexandria via LeMat-Bulk. Energies are from PBE.

```
4
Lattice="-0.428 3.545 2.155 -2.883 -3.009 0.341 5.474 -1.843 4.121" Properties=species:S:1:pos:R:3 pbc="T T T"
K 2.524 -1.970 3.743
Ge 0.373 -0.295 0.559
Ge 0.052 0.344 3.481
Pt -1.147 -1.545 2.313
```

Summary:
The value obtained for the formation energy is -0.35 eV per atom. The value obtained for the theoretical density is 6.3 g cm⁻³. The value obtained for the total magnetization is 0.0 μB/cell. Its space group is Cm (8). The value obtained for the total energy is -4.44 eV per atom.


[4]
Here is a relaxed KGe2Pt2 crystal from Alexandria via LeMat-Bulk. Energies are from PBE.

```
10
Lattice="-1.333 4.774 -4.859 -7.365 2.099 -1.116 -0.165 6.052 0.989" Properties=species:S:1:pos:R:3 pbc="T T T"
K -6.745 7.277 -4.829
K -2.118 5.649 -0.158
Ge -6.375 9.868 -2.417
Ge -2.954 7.006 -3.545
Ge -2.487 3.057 -2.570
Ge -5.908 5.919 -1.442
Pt -4.005 4.939 -2.823
Pt -8.110 10.243 -4.079
Pt -0.753 2.683 -0.907
Pt -4.857 7.986 -2.163
```

Summary:
The value obtained for the formation energy is -0.46 eV per atom. The value obtained for the theoretical density is 8.0 g cm⁻³. The value obtained for the total magnetization is 0.0 μB/cell. The value obtained for the polymorph energy (0 for the lowest one) is 0.86 kcal/mol of atoms. Its space group is P-1 (2). The value obtained for the total energy is -4.95 eV per atom.


[5]
Here is a relaxed KGePt3 crystal from Alexandria via LeMat-Bulk. Energies are from PBE.

```
5
Lattice="4.796 0.000 0.000 0.000 4.796 0.000 0.000 0.000 4.796" Properties=species:S:1:pos:R:3 pbc="T T T"
Ge 0.000 0.000 0.000
K 2.398 2.398 2.398
Pt 0.000 2.398 0.000
Pt 0.000 0.000 2.398
Pt 2.398 0.000 0.000
```

Summary:
The value obtained for the formation energy is 0.16 eV per atom. The value obtained for the theoretical density is 10.5 g cm⁻³. The value obtained for the total magnetization is 0.0 μB/cell. The value obtained for the polymorph energy (0 for the lowest one) is 9.12 kcal/mol of atoms. Its space group is Pm-3m (221). The value obtained for the total energy is -4.61 eV per atom.


[6]
Here is a relaxed KGePt crystal from Alexandria via LeMat-Bulk. Energies are from PBE.

```
12
Lattice="-1.929 6.411 -0.127 -7.294 -2.249 -2.765 -1.607 -2.279 6.092" Properties=species:S:1:pos:R:3 pbc="T T T"
K -0.907 1.535 1.126
K -6.310 2.480 2.730
K -9.922 0.348 2.074
K -4.519 -0.597 0.470
Ge -3.962 3.177 0.043
Ge -6.867 -1.295 3.157
Ge -2.660 -0.815 3.586
Ge -8.170 2.698 -0.386
Pt -4.879 -0.438 4.236
Pt -5.950 2.321 -1.036
Pt -7.645 -2.596 1.370
Pt -3.184 4.479 1.830
```

Summary:
The value obtained for the formation energy is -0.45 eV per atom. The value obtained for the theoretical density is 5.8 g cm⁻³. The value obtained for the total magnetization is 0.0 μB/cell. Its space group is P2_1/c (14). The value obtained for the total energy is -4.37 eV per atom.


[7]
Here is a relaxed KGePt crystal from Alexandria via LeMat-Bulk. Energies are from PBE.

```
3
Lattice="5.413 0.000 0.000 0.000 4.198 0.000 0.000 -2.099 3.636" Properties=species:S:1:pos:R:3 pbc="T T T"
Ge 0.902 0.000 0.000
K 3.608 0.000 2.424
Pt 0.902 2.099 1.212
```

Summary:
The value obtained for the formation energy is -0.35 eV per atom. The value obtained for the theoretical density is 6.2 g cm⁻³. The value obtained for the total magnetization is 0.0 μB/cell. Its space group is P-6m2 (187). The value obtained for the total energy is -4.27 eV per atom.


[8]
Here is a relaxed K3Ge4Pt7 crystal from Alexandria via LeMat-Bulk. Energies are from PBE.

```
14
Lattice="-0.121 -1.657 3.963 -1.432 -8.649 -1.322 7.999 -3.112 1.289" Properties=species:S:1:pos:R:3 pbc="T T T"
K 1.428 -3.068 1.096
K 5.019 -10.350 2.835
K 3.284 -5.881 -0.016
Ge 0.199 -6.003 2.164
Ge 6.248 -7.415 1.767
Ge 1.118 -10.256 2.748
Ge 5.329 -3.162 1.183
Pt 2.440 -9.818 0.645
Pt 6.463 -4.810 2.863
Pt 6.652 -7.198 4.201
Pt 4.007 -3.600 3.286
Pt -0.205 -6.221 -0.270
Pt 7.999 -3.112 1.289
Pt -0.016 -8.608 1.067
```

Summary:
The value obtained for the formation energy is -0.34 eV per atom. The value obtained for the theoretical density is 9.6 g cm⁻³. The value obtained for the total magnetization is 0.0 μB/cell. Its space group is P-1 (2). The value obtained for the total energy is -4.91 eV per atom.


[9]
Here is a relaxed K2GePt2 crystal from Alexandria via LeMat-Bulk. Energies are from PBE.

```
10
Lattice="-1.241 -5.780 0.005 3.056 -2.497 4.402 -5.604 0.410 5.170" Properties=species:S:1:pos:R:3 pbc="T T T"
K -0.558 -3.311 1.690
K -1.463 -5.550 4.245
K -3.232 -4.556 7.888
K -2.327 -2.317 5.332
Ge 1.503 -2.510 5.540
Ge -5.293 -5.357 4.038
Pt -3.719 -3.989 2.669
Pt -5.941 -6.017 6.355
Pt -0.071 -3.878 6.909
Pt 2.151 -1.850 3.223
```

Summary:
The value obtained for the formation energy is -0.35 eV per atom. The value obtained for the theoretical density is 7.1 g cm⁻³. The value obtained for the total magnetization is 0.0 μB/cell. The value obtained for the polymorph energy (0 for the lowest one) is 0.00 kcal/mol of atoms. Its space group is C2/c (15). The value obtained for the total energy is -4.12 eV per atom.


[10]
Here is a relaxed KGe2Pt crystal from Alexandria via LeMat-Bulk. Energies are from PBE.

```
4
Lattice="4.153 0.000 0.000 2.077 3.597 0.000 2.077 1.199 8.305" Properties=species:S:1:pos:R:3 pbc="T T T"
Ge 2.077 1.199 5.051
Ge 6.230 3.597 3.254
K 0.000 0.000 0.000
Pt 4.153 2.398 4.153
```

Summary:
The value obtained for the formation energy is -0.14 eV per atom. The value obtained for the theoretical density is 5.1 g cm⁻³. The value obtained for the total magnetization is 0.0 μB/cell. Its space group is R-3m (166). The value obtained for the total energy is -4.23 eV per atom.